(1)
Below is crystalline Be3Ag4 at its relaxed geometry, with properties calculated at the PBE level.

Calculated values
The calculation puts the energy above the most stable polymorph in this dataset at 355 meV/atom. The size of the total moment comes out at 0.00 Bohr magnetons per cell. The density of states at the Fermi level comes out at 0.096 states/eV/atom.

a b c (Å): 4.767 4.767 4.767
angles (deg): 90.00 90.00 90.00
Element x y z (fractional)
Be: 0.000 0.000 0.500
Be: 0.000 0.500 0.000
Be: 0.500 0.000 0.000
Ag: 0.000 0.000 0.000
Ag: 0.000 0.500 0.500
Ag: 0.500 0.000 0.500
Ag: 0.500 0.500 0.000


(2)
Below is crystalline Be2Ag at its relaxed geometry, with properties calculated at the PBE level.

Calculated values
The calculation puts the energy above the most stable polymorph in this dataset at 163 meV/atom. The size of the total moment comes out at 0.00 Bohr magnetons per cell. The density of states at the Fermi level comes out at 0.209 states/eV/atom.

a b c (Å): 6.214 6.214 2.983
angles (deg): 90.00 90.00 143.47
Element x y z (fractional)
Be: 0.000 0.000 0.000
Be: 0.147 0.853 0.500
Be: 0.500 0.500 0.500
Be: 0.853 0.147 0.500
Ag: 0.338 0.662 0.000
Ag: 0.662 0.338 0.000


(3)
Below is crystalline Be7Ag6 at its relaxed geometry, with properties calculated at the PBE level.

Calculated values
The total DFT energy (no corrections) is -3.237 eV/atom. The size of the total moment comes out at 0.00 Bohr magnetons per cell. The density of states at the Fermi level comes out at 0.136 states/eV/atom.

a b c (Å): 8.933 8.933 8.933
angles (deg): 30.40 30.40 30.40
Element x y z (fractional)
Be: 0.000 0.000 0.000
Be: 0.089 0.089 0.597
Be: 0.089 0.597 0.089
Be: 0.403 0.911 0.911
Be: 0.597 0.089 0.089
Be: 0.911 0.403 0.911
Be: 0.911 0.911 0.403
Ag: 0.169 0.169 0.169
Ag: 0.342 0.342 0.342
Ag: 0.448 0.448 0.448
Ag: 0.552 0.552 0.552
Ag: 0.658 0.658 0.658
Ag: 0.831 0.831 0.831


(4)
Below is crystalline Be2Ag at its relaxed geometry, with properties calculated at the PBE level.

Calculated values
The calculation puts the energy above the most stable polymorph in this dataset at 547 meV/atom. The size of the total moment comes out at 0.00 Bohr magnetons per cell. The density of states at the Fermi level comes out at 0.192 states/eV/atom.

a b c (Å): 3.888 3.888 3.888
angles (deg): 60.00 60.00 60.00
Element x y z (fractional)
Be: 0.250 0.250 0.250
Be: 0.750 0.750 0.750
Ag: 0.000 0.000 0.000


(5)
Below is crystalline Be2Ag at its relaxed geometry, with properties calculated at the PBE level.

Calculated values
The calculation puts the energy above the most stable polymorph in this dataset at 32 meV/atom. The size of the total moment comes out at 0.00 Bohr magnetons per cell. The density of states at the Fermi level comes out at 0.293 states/eV/atom.

a b c (Å): 4.558 4.558 7.372
angles (deg): 90.00 90.00 120.00
Element x y z (fractional)
Be: 0.000 0.000 0.000
Be: 0.000 0.000 0.500
Be: 0.164 0.329 0.250
Be: 0.164 0.836 0.250
Be: 0.329 0.164 0.750
Be: 0.671 0.836 0.250
Be: 0.836 0.164 0.750
Be: 0.836 0.671 0.750
Ag: 0.333 0.667 0.559
Ag: 0.333 0.667 0.941
Ag: 0.667 0.333 0.059
Ag: 0.667 0.333 0.441


(6)
Below is crystalline Be4Ag5 at its relaxed geometry, with properties calculated at the PBE level.

Calculated values
The calculation puts the energy above the most stable polymorph in this dataset at 0 meV/atom. The size of the total moment comes out at 0.00 Bohr magnetons per cell. The density of states at the Fermi level comes out at 0.019 states/eV/atom.

a b c (Å): 7.285 7.285 5.314
angles (deg): 90.00 90.00 120.00
Element x y z (fractional)
Be: 0.000 0.000 0.000
Be: 0.000 0.000 0.500
Be: 0.000 0.378 0.250
Be: 0.000 0.622 0.750
Be: 0.378 0.000 0.250
Be: 0.378 0.378 0.750
Be: 0.622 0.000 0.750
Be: 0.622 0.622 0.250
Ag: 0.000 0.281 0.750
Ag: 0.000 0.719 0.250
Ag: 0.281 0.000 0.750
Ag: 0.281 0.281 0.250
Ag: 0.333 0.667 0.000
Ag: 0.333 0.667 0.500
Ag: 0.667 0.333 0.000
Ag: 0.667 0.333 0.500
Ag: 0.719 0.000 0.250
Ag: 0.719 0.719 0.750


(7)
Below is crystalline Be2Ag at its relaxed geometry, with properties calculated at the PBE level.

Calculated values
The calculation puts the energy above the most stable polymorph in this dataset at 286 meV/atom. The size of the total moment comes out at 0.00 Bohr magnetons per cell. The density of states at the Fermi level comes out at 0.189 states/eV/atom.

a b c (Å): 6.843 6.843 2.639
angles (deg): 90.00 90.00 120.00
Element x y z (fractional)
Be: 0.000 0.307 0.000
Be: 0.000 0.643 0.500
Be: 0.307 0.000 0.000
Be: 0.357 0.357 0.500
Be: 0.643 0.000 0.500
Be: 0.693 0.693 0.000
Ag: 0.000 0.000 0.500
Ag: 0.333 0.667 0.000
Ag: 0.667 0.333 0.000


(8)
Below is crystalline Be2Ag at its relaxed geometry, with properties calculated at the PBE level.

Calculated values
The calculation puts the energy above the most stable polymorph in this dataset at 509 meV/atom. The size of the total moment comes out at 0.00 Bohr magnetons per cell. The density of states at the Fermi level comes out at 0.250 states/eV/atom.

a b c (Å): 3.774 3.774 3.774
angles (deg): 111.72 111.72 105.05
Element x y z (fractional)
Be: 0.250 0.750 0.500
Be: 0.750 0.250 0.500
Ag: 0.000 0.000 0.000


(9)
Below is crystalline BeAg5 at its relaxed geometry, with properties calculated at the PBE level.

Calculated values
The calculation puts the energy above the most stable polymorph in this dataset at 37 meV/atom. The size of the total moment comes out at 0.00 Bohr magnetons per cell. The density of states at the Fermi level comes out at 0.281 states/eV/atom.

a b c (Å): 5.187 5.187 7.095
angles (deg): 110.62 110.62 33.55
Element x y z (fractional)
Be: 0.000 0.000 0.000
Ag: 0.000 0.000 0.500
Ag: 0.325 0.325 0.696
Ag: 0.364 0.364 0.138
Ag: 0.636 0.636 0.862
Ag: 0.675 0.675 0.304


(10)
Below is crystalline Be2Ag at its relaxed geometry, with properties calculated at the PBE level.

Calculated values
The calculation puts the energy above the most stable polymorph in this dataset at 162 meV/atom. The size of the total moment comes out at 0.00 Bohr magnetons per cell. The density of states at the Fermi level comes out at 0.124 states/eV/atom.

a b c (Å): 6.034 6.034 3.912
angles (deg): 90.00 90.00 151.23
Element x y z (fractional)
Be: 0.088 0.912 0.750
Be: 0.258 0.742 0.250
Be: 0.742 0.258 0.750
Be: 0.912 0.088 0.250
Ag: 0.406 0.594 0.750
Ag: 0.594 0.406 0.250


(11)
Below is crystalline Be2Ag at its relaxed geometry, with properties calculated at the PBE level.

Calculated values
The calculation puts the energy above the most stable polymorph in this dataset at 789 meV/atom. The size of the total moment comes out at 0.00 Bohr magnetons per cell. The density of states at the Fermi level comes out at 0.412 states/eV/atom.

a b c (Å): 6.121 6.121 2.569
angles (deg): 90.00 90.00 90.00
Element x y z (fractional)
Be: 0.232 0.232 0.000
Be: 0.268 0.732 0.500
Be: 0.732 0.268 0.500
Be: 0.768 0.768 0.000
Ag: 0.000 0.000 0.500
Ag: 0.500 0.500 0.000


(12)
Below is crystalline Be2Ag at its relaxed geometry, with properties calculated at the PBE level.

Calculated values
The calculation puts the energy above the most stable polymorph in this dataset at 220 meV/atom. The size of the total moment comes out at 0.00 Bohr magnetons per cell. The density of states at the Fermi level comes out at 0.484 states/eV/atom.

a b c (Å): 4.070 4.070 4.824
angles (deg): 90.00 90.00 120.00
Element x y z (fractional)
Be: 0.000 0.000 0.000
Be: 0.000 0.000 0.500
Be: 0.333 0.667 0.250
Be: 0.667 0.333 0.750
Ag: 0.333 0.667 0.750
Ag: 0.667 0.333 0.250